# SrHoCd4

A geometry-optimized SrHoCd4 structure (PBE, the Alexandria database).

abc: 6.038 6.038 6.038
angles: 60.00 60.00 60.00
Positions (direct):
Sr 0.000 0.000 0.000
Ho 0.250 0.250 0.250
Cd 0.127 0.624 0.624
Cd 0.624 0.127 0.624
Cd 0.624 0.624 0.127
Cd 0.624 0.624 0.624

Values from the calculation:
DFT formation energy (eV/f.u.): -1.4
VASP energy (eV per atom): -1.885
DOS at the Fermi energy (states/eV per atom): 0.74
Energy above the most stable polymorph in this dataset (meV per atom): 61

# Sr4HoCd5

A geometry-optimized Sr4HoCd5 structure (PBE, the Alexandria database).

abc: 3.958 3.958 20.178
angles: 90.00 90.00 90.00
Positions (direct):
Sr 0.000 0.000 0.104
Sr 0.000 0.000 0.311
Sr 0.000 0.000 0.689
Sr 0.000 0.000 0.896
Ho 0.000 0.000 0.500
Cd 0.500 0.500 0.000
Cd 0.500 0.500 0.207
Cd 0.500 0.500 0.418
Cd 0.500 0.500 0.582
Cd 0.500 0.500 0.793

Values from the calculation:
DFT formation energy (eV/f.u.): -3.2
VASP energy (eV per atom): -1.908
DOS at the Fermi energy (states/eV per atom): 0.73

# SrHoCd

A geometry-optimized SrHoCd structure (PBE, the Alexandria database).

abc: 5.436 5.436 3.994
angles: 90.00 90.00 120.00
Positions (direct):
Sr 0.000 0.000 0.000
Ho 0.333 0.667 0.488
Cd 0.667 0.333 0.543

Values from the calculation:
DFT formation energy (eV/f.u.): 0.1
VASP energy (eV per atom): -2.374
DOS at the Fermi energy (states/eV per atom): 0.94
Energy above the most stable polymorph in this dataset (meV per atom): 164

# SrHoCd6

A geometry-optimized SrHoCd6 structure (PBE, the Alexandria database).

abc: 5.129 6.937 5.700
angles: 90.00 90.00 90.00
Positions (direct):
Sr 0.000 0.000 0.000
Ho 0.500 0.500 0.313
Cd 0.000 0.264 0.490
Cd 0.000 0.500 0.973
Cd 0.000 0.736 0.490
Cd 0.500 0.000 0.411
Cd 0.500 0.276 0.827
Cd 0.500 0.724 0.827

Values from the calculation:
DFT formation energy (eV/f.u.): -1.9
VASP energy (eV per atom): -1.702
DOS at the Fermi energy (states/eV per atom): 0.56

> What is the DFT formation energy in the third record?

0.1 eV/f.u.